Y6Si2Te3As: relaxed, PBE-GGA.

Lattice parameters (Å, degrees): 9.576 9.576 8.607 104.32 104.32 25.46
Fractional coordinates of all 12 atoms:
Y 0.009 0.009 0.236
Y 0.326 0.326 0.435
Y 0.338 0.338 0.896
Y 0.662 0.662 0.104
Y 0.674 0.674 0.565
Y 0.991 0.991 0.764
Si 0.167 0.167 0.333
Si 0.833 0.833 0.667
Te 0.165 0.165 0.834
Te 0.500 0.500 0.500
Te 0.835 0.835 0.166
As 0.500 0.500 0.000

Summary:
The calculation puts the uncorrected formation energy at -15.3 eV per formula unit. The value obtained for the total energy is -79.0 eV/cell.